# 1
Computed, not measured: an optimized crystal structure of Tb6Nd3Tm2Sc at the PBE level of DFT.

Unit cell a=6.1664 b=6.1664 c=11.7652 alpha=95.01 beta=95.01 gamma=120.00
Atoms (fractional coordinates):
1 Tb 0.9194 0.5884 0.7576
2 Tb 0.7496 0.7496 0.2426
3 Tb 0.0806 0.4116 0.2424
4 Tb 0.5884 0.9194 0.7576
5 Tb 0.2504 0.2504 0.7574
6 Tb 0.4116 0.0806 0.2424
7 Nd 0.1665 0.8335 0.5000
8 Nd 0.8335 0.1665 0.5000
9 Nd 0.5000 0.5000 0.5000
10 Tm 0.3335 0.6665 0.0000
11 Tm 0.6665 0.3335 0.0000
12 Sc 0.0000 0.0000 0.0000

M_tot in μB/f.u.: 0.00
Energy of formation in kcal/mol of atoms: 0.71
SG: C2/m, No. 12


# 2
Computed, not measured: an optimized crystal structure of Tb2NdTm6Sc3 at the PBE level of DFT.

Unit cell a=6.0114 b=6.0114 c=11.4151 alpha=95.03 beta=95.03 gamma=119.97
Atoms (fractional coordinates):
1 Tb 0.3334 0.6666 0.0000
2 Tb 0.6666 0.3334 0.0000
3 Nd 0.0000 0.0000 0.0000
4 Tm 0.9129 0.5792 0.7398
5 Tm 0.7534 0.7534 0.2603
6 Tm 0.0871 0.4208 0.2602
7 Tm 0.5792 0.9129 0.7398
8 Tm 0.2466 0.2466 0.7397
9 Tm 0.4208 0.0871 0.2602
10 Sc 0.1669 0.8331 0.5000
11 Sc 0.8331 0.1669 0.5000
12 Sc 0.5000 0.5000 0.5000

M_tot in μB/f.u.: 0.00
Energy of formation in kcal/mol of atoms: 1.04
SG: C2/m, No. 12


N(E_F) for every record listed, in sequence, given in states/eV/cell: 16.66 18.04.